1.
P3C5 after structural relaxation. Source: the Alexandria database, functional PBE.

As for the space-group type: P4/mmm (123). As for the energy relative to the lowest polymorph listed for this composition: 424.4 meV/atom. The uncorrected energy is -6.28 eV per atom. The calculation puts the magnetic moment at 0.00 Bohr magnetons per cell.

Cell lengths 3.0383, 3.0383, 8.8328 Å; angles 90.00, 90.00, 90.00 degrees
Positions (direct):
P 0.0000 0.0000 0.5000
P 0.5000 0.5000 0.2196
P 0.5000 0.5000 0.7804
C 0.0000 0.0000 0.0000
C 0.0000 0.0000 0.1519
C 0.0000 0.0000 0.8481
C 0.5000 0.5000 0.4185
C 0.5000 0.5000 0.5815

2.
Ba2LaV after structural relaxation. Source: the Alexandria database, functional PBE.

As for the space-group type: Fm-3m (225). The uncorrected energy is -3.74 eV per atom. The calculation puts the magnetic moment at 3.39 Bohr magnetons per cell.

Cell lengths 6.0312, 6.0312, 6.0312 Å; angles 60.00, 60.00, 60.00 degrees
Site moments in Bohr magnetons follow the coordinates.
Positions (direct):
La 0.5000 0.5000 0.5000  -0.18
Ba 0.2500 0.2500 0.2500  0.01
Ba 0.7500 0.7500 0.7500  0.01
V 0.0000 0.0000 0.0000  2.88

3.
Cd2InPb after structural relaxation. Source: the Alexandria database, functional PBE.

As for the space-group type: Pm (6). As for the energy relative to the lowest polymorph listed for this composition: 28.5 meV/atom. The uncorrected energy is -2.02 eV per atom. The calculation puts the magnetic moment at 0.00 Bohr magnetons per cell.

Cell lengths 5.6565, 3.2345, 5.9007 Å; angles 86.05, 90.00, 90.00 degrees
Positions (direct):
Pb 0.5000 0.7831 0.7382
Cd 0.0000 0.0835 0.0177
Cd 0.5000 0.2721 0.2349
In 0.0000 0.3614 0.5092